Record 1
The following is a GGA-PBE calculation of an optimized crystal structure of VTc2Ru, from the Alexandria database.

Cell: 4.322 4.322 4.322 Å, 60.00 60.00 60.00°
Sites, in units of the cell vectors:
V1 0.000 0.000 0.000
Tc1 0.250 0.250 0.250
Tc2 0.750 0.750 0.750
Ru1 0.500 0.500 0.500

Polymorph energy (0 for the lowest one): 0.122 eV/atom
Energy of formation from the pure elements: 118.7 meV per atom
Total magnetic moment: 0.00 μB/f.u.
Calculated density: 10124 kg/m³

---

Record 2
The following is a GGA-PBE calculation of an optimized crystal structure of LaBi3Pd, from the Alexandria database.

Cell: 13.329 6.591 6.503 Å, 90.00 90.00 90.00°
Sites, in units of the cell vectors:
La1 0.196 0.008 0.250
La2 0.196 0.492 0.750
La3 0.804 0.508 0.250
La4 0.804 0.992 0.750
Bi1 0.001 0.250 0.000
Bi2 0.001 0.250 0.500
Bi3 0.267 0.511 0.250
Bi4 0.267 0.989 0.750
Bi5 0.448 0.610 0.750
Bi6 0.448 0.890 0.250
Bi7 0.552 0.110 0.750
Bi8 0.552 0.390 0.250
Bi9 0.733 0.011 0.250
Bi10 0.733 0.489 0.750
Bi11 0.999 0.750 0.000
Bi12 0.999 0.750 0.500
Pd1 0.392 0.250 0.000
Pd2 0.392 0.250 0.500
Pd3 0.608 0.750 0.000
Pd4 0.608 0.750 0.500

Polymorph energy (0 for the lowest one): 0.000 eV/atom
Energy of formation from the pure elements: -578.0 meV per atom
Total magnetic moment: 0.00 μB/f.u.
Calculated density: 10142 kg/m³

---

Record 3
The following is a GGA-PBE calculation of an optimized crystal structure of Ti2TcPdC, from the Alexandria database.

Cell: 4.213 4.213 3.952 Å, 90.00 90.00 90.00°
Sites, in units of the cell vectors:
Ti1 0.000 0.500 0.000
Ti2 0.500 0.000 0.000
Tc1 0.000 0.000 0.500
Pd1 0.500 0.500 0.500
C1 0.000 0.000 0.000

Energy of formation from the pure elements: -439.7 meV per atom
Total magnetic moment: 0.00 μB/f.u.
Calculated density: 7390 kg/m³

---

Record 4
The following is a GGA-PBE calculation of an optimized crystal structure of Cs2RbS, from the Alexandria database.

Cell: 6.529 6.529 6.529 Å, 60.00 60.00 60.00°
Sites, in units of the cell vectors:
Cs1 0.250 0.250 0.250
Cs2 0.750 0.750 0.750
Rb1 0.000 0.000 0.000
S1 0.500 0.500 0.500

Energy relative to the elements, uncorrected: -0.322 eV per atom
Polymorph energy (0 for the lowest one): 0.350 eV/atom
Total magnetic moment: 0.63 μB/f.u.
Calculated density: 3234 kg/m³

---

Record 5
The following is a GGA-PBE calculation of an optimized crystal structure of Cr2InPt, from the Alexandria database.

Cell: 4.737 4.737 3.019 Å, 90.00 90.00 102.74°
Sites, in units of the cell vectors:
Cr1 0.000 0.500 0.000
Cr2 0.500 0.000 0.000
In1 0.000 0.000 0.500
Pt1 0.500 0.500 0.500

Energy of formation from the pure elements: 159.9 meV per atom
Total magnetic moment: 7.03 μB/f.u.
Calculated density: 10401 kg/m³

---

Record 6
The following is a GGA-PBE calculation of an optimized crystal structure of DyTlPtAu, from the Alexandria database.

Cell: 4.928 4.928 4.928 Å, 60.00 60.00 60.00°
Sites, in units of the cell vectors:
Dy1 0.000 0.000 0.000
Tl1 0.500 0.500 0.500
Pt1 0.250 0.250 0.250
Au1 0.750 0.750 0.750

Energy of formation from the pure elements: -621.1 meV per atom
Total magnetic moment: 0.00 μB/f.u.
Calculated density: 14895 kg/m³

---

Record 7
The following is a GGA-PBE calculation of an optimized crystal structure of NaTi3Pt, from the Alexandria database.

Cell: 4.536 4.536 4.536 Å, 90.00 90.00 90.00°
Sites, in units of the cell vectors:
Na1 0.000 0.000 0.000
Ti1 0.000 0.000 0.500
Ti2 0.000 0.500 0.000
Ti3 0.500 0.000 0.000
Pt1 0.500 0.500 0.500

Polymorph energy (0 for the lowest one): 1.081 eV/atom
Energy of formation from the pure elements: 1483.5 meV per atom
Total magnetic moment: 0.00 μB/f.u.
Calculated density: 6435 kg/m³

---

Record 8
The following is a GGA-PBE calculation of an optimized crystal structure of CeUAs2, from the Alexandria database.

Cell: 7.292 7.292 7.292 Å, 32.85 32.85 32.85°
Sites, in units of the cell vectors:
Ce1 0.000 0.000 0.000
U1 0.500 0.500 0.500
As1 0.247 0.247 0.247
As2 0.753 0.753 0.753

Polymorph energy (0 for the lowest one): 0.000 eV/atom
Energy of formation from the pure elements: -1068.9 meV per atom
Total magnetic moment: 3.27 μB/f.u.
Calculated density: 8638 kg/m³